# ScPaInMo

Crystalline ScPaInMo at its relaxed geometry (PBE, the Alexandria database).

Output
DFT formation energy: 0.0961 eV/atom
spin magnetization: 0.00 μB/f.u.

Cell: 4.992 4.992 4.992 Å, 60.00 60.00 60.00°
Fractional positions:
Sc 0.000 0.000 0.000
Pa 0.500 0.500 0.500
In 0.750 0.750 0.750
Mo 0.250 0.250 0.250